1.
Mg2Cu2Sn at its PBEsol-relaxed geometry. Source: Alexandria via LeMat-Bulk, functional meta-GGA SCAN.

It has space group P4/mbm (No. 127), with a = 6.7845 Å, b = 6.7845 Å, c = 3.7273 Å, α = 90.00°, β = 90.00° and γ = 90.00°. The inequivalent atoms are Mg at (0.1629, 0.3371, 0.0000), Cu at (0.1279, 0.6279, 0.5000) and Sn at (0.0000, 0.0000, 0.5000).

The calculation puts the formation energy at -0.1464 eV per atom.

---

2.
KRu2Br at its PBEsol-relaxed geometry. Source: Alexandria via LeMat-Bulk, functional meta-GGA SCAN.

It has space group P4mm (No. 99), with a = 3.0857 Å, b = 3.0857 Å, c = 8.2544 Å, α = 90.00°, β = 90.00° and γ = 90.00°. The inequivalent atoms are K at (0.0000, 0.0000, 0.0000), Ru at (0.0000, 0.0000, 0.4724), Ru at (0.5000, 0.5000, 0.3240) and Br at (0.5000, 0.5000, 0.7210).

For the energy relative to the elements, uncorrected, the calculation gives 0.35 eV/atom.